# 1
Computed, not measured: a crystal of TcIr2W relaxed with PBEsol at the SCAN level of DFT.

Calculated values
total magnetic moment = 0.0 μB/cell
calculated volume = 14.340 Å³/atom
uncorrected energy = -248.21 eV for the cell shown
excess energy over the best structure of this formula in the dataset = 101 meV/atom
formation energy = -316 meV/atom
space group = No. 47

The structure in extended XYZ format:
```
4
Lattice="-1.619 2.175 0.217 -2.754 -2.209 1.593 2.039 1.024 4.944" Properties=species:S:1:pos:R:3 pbc="T T T"
Ir 0.499 0.251 1.211
Ir 1.539 0.773 3.733
Tc -2.186 -0.017 0.905
W -1.167 0.495 3.377
```


# 2
Computed, not measured: a crystal of TcIr2W relaxed with PBEsol at the SCAN level of DFT.

Calculated values
total magnetic moment = 0.0 μB/cell
calculated volume = 14.326 Å³/atom
uncorrected energy = -248.38 eV for the cell shown
excess energy over the best structure of this formula in the dataset = 58 meV/atom
formation energy = -358 meV/atom
space group = No. 139

The structure in extended XYZ format:
```
4
Lattice="3.841 0.000 0.000 0.000 3.841 0.000 -1.920 -1.920 3.885" Properties=species:S:1:pos:R:3 pbc="T T T"
Tc 1.920 1.920 0.000
Ir 0.000 1.920 1.943
Ir 1.920 0.000 1.943
W 0.000 0.000 0.000
```